# ErTh2RuC2

A relaxed structure of ErTh2RuC2 (PBE-GGA, Alexandria via LeMat-Bulk).

Lattice parameters (Å, degrees): 5.860 11.034 3.737 90.00 90.00 90.00
Space group Pnnm (No. 58)
Inequivalent atoms, fractional coordinates:
Er1 0.000 0.000 0.000 x2
Th1 0.047 0.296 0.500 x4
Ru1 0.000 0.500 0.000 x2
C1 0.211 0.884 0.500 x4

Results
- E_form: -1.347 eV per formula unit